Record 1
Here is a PBEsol-optimized structure of CoTeIr from the Alexandria database. Energies are from SCAN.

Calculated values
The calculation puts the magnetic moment at 0.23 μB per cell. The total energy comes out at -123.9 eV for the cell shown. Its symmetry is P3m1, No. 156. For the energy relative to the lowest polymorph listed for this composition, the calculation gives 0.00 kJ/mol of atoms. The value obtained for the formation energy (no corrections) is 0.580 eV per atom.

a b c (Å): 3.2205 4.0708 4.0708
angles (deg): 120.00 90.00 90.00
Each line ends with the local moment (μB).
Positions (direct):
Te: 0.2442 0.6667 0.3333  -0.02
Ir: 0.6386 0.3333 0.6667  -0.03
Co: 0.1172 0.0000 0.0000  0.31

=====

Record 2
Here is a PBEsol-optimized structure of YBe2Pt from the Alexandria database. Energies are from SCAN.

Calculated values
The calculation puts the magnetic moment at 0.00 μB per cell. The total energy comes out at -110.2 eV for the cell shown. Its symmetry is R-3m, No. 166. The calculated formation energy is -0.87 eV/atom. For the energy relative to the lowest polymorph listed for this composition, the calculation gives 0.00 kJ/mol of atoms.

a b c (Å): 3.8791 3.8791 5.2484
angles (deg): 68.31 68.31 60.00
Positions (direct):
Y: 0.5000 0.5000 0.5000
Be: 0.3029 0.3029 0.0913
Be: 0.6971 0.6971 0.9087
Pt: 0.0000 0.0000 0.0000

=====

Record 3
Here is a PBEsol-optimized structure of LiSb2RhPb from the Alexandria database. Energies are from SCAN.

Calculated values
The calculation puts the magnetic moment at 0.00 μB per cell. The total energy comes out at -182.1 eV for the cell shown. Its symmetry is P4/mmm, No. 123. The value obtained for the formation energy (no corrections) is 0.866 eV per atom.

a b c (Å): 5.0008 5.6897 5.6897
angles (deg): 90.00 90.00 90.00
Positions (direct):
Pb: 0.0000 0.0000 0.0000
Sb: 0.0000 0.0000 0.5000
Sb: 0.0000 0.5000 0.0000
Rh: 0.5000 0.0000 0.0000
Li: 0.5000 0.5000 0.5000

=====

Record 4
Here is a PBEsol-optimized structure of ZrSc from the Alexandria database. Energies are from SCAN.

Calculated values
The calculation puts the magnetic moment at 0.00 μB per cell. The total energy comes out at -538.3 eV for the cell shown. Its symmetry is Pbcm, No. 57. The calculated formation energy is 0.04 eV/atom.

a b c (Å): 6.3238 8.5601 9.8996
angles (deg): 90.00 90.00 90.00
Positions (direct):
Sc: 0.7500 0.0817 0.8746
Sc: 0.2500 0.9183 0.1254
Sc: 0.7500 0.5817 0.1254
Sc: 0.2500 0.4183 0.8746
Sc: 0.7500 0.5852 0.6237
Sc: 0.2500 0.4148 0.3763
Sc: 0.7500 0.0852 0.3763
Sc: 0.2500 0.9148 0.6237
Sc: 0.0000 0.7500 0.8765
Sc: 0.5000 0.2500 0.1235
Sc: 0.0000 0.2500 0.1235
Sc: 0.5000 0.7500 0.8765
Zr: 0.7500 0.4146 0.8702
Zr: 0.2500 0.5854 0.1298
Zr: 0.7500 0.9146 0.1298
Zr: 0.2500 0.0854 0.8702
Zr: 0.7500 0.9189 0.6222
Zr: 0.2500 0.0811 0.3778
Zr: 0.7500 0.4189 0.3778
Zr: 0.2500 0.5811 0.6222
Zr: 0.0000 0.7500 0.3733
Zr: 0.5000 0.2500 0.6267
Zr: 0.0000 0.2500 0.6267
Zr: 0.5000 0.7500 0.3733

=====

Record 5
Here is a PBEsol-optimized structure of HgRh from the Alexandria database. Energies are from SCAN.

Calculated values
The calculation puts the magnetic moment at 0.00 μB per cell. The total energy comes out at -101.4 eV for the cell shown. Its symmetry is R-3m, No. 166. The calculated formation energy is 0.25 eV/atom.

a b c (Å): 2.9419 2.9419 4.7318
angles (deg): 71.89 71.89 60.00
Positions (direct):
Hg: 0.0000 0.0000 0.0000
Rh: 0.5000 0.5000 0.5000

=====

Record 6
Here is a PBEsol-optimized structure of Y2AsPb from the Alexandria database. Energies are from SCAN.

Calculated values
The calculation puts the magnetic moment at 0.00 μB per cell. The total energy comes out at -156.6 eV for the cell shown. Its symmetry is R-3m, No. 166. The calculated formation energy is -1.23 eV/atom. For the energy relative to the lowest polymorph listed for this composition, the calculation gives 0.00 kJ/mol of atoms.

a b c (Å): 3.9753 3.9753 8.0652
angles (deg): 75.73 75.73 60.00
Positions (direct):
Pb: 0.0000 0.0000 0.0000
Y: 0.2371 0.2371 0.2886
Y: 0.7629 0.7629 0.7114
As: 0.5000 0.5000 0.5000

=====

Record 7
Here is a PBEsol-optimized structure of Mg2InTc from the Alexandria database. Energies are from SCAN.

Calculated values
The calculation puts the magnetic moment at 1.03 μB per cell. The total energy comes out at -77.6 eV for the cell shown. Its symmetry is R-3m, No. 166. The calculated formation energy is 0.21 eV/atom.

a b c (Å): 2.9977 2.9977 9.7892
angles (deg): 81.19 81.19 60.00
Each line ends with the local moment (μB).
Positions (direct):
In: 0.0000 0.0000 0.0000  0.00
Mg: 0.2413 0.2413 0.2760  0.00
Mg: 0.7587 0.7587 0.7240  0.00
Tc: 0.5000 0.5000 0.5000  0.96

=====

Record 8
Here is a PBEsol-optimized structure of RbTc2PdS from the Alexandria database. Energies are from SCAN.

Calculated values
The calculation puts the magnetic moment at 3.68 μB per cell. The total energy comes out at -128.7 eV for the cell shown. Its symmetry is P4/mmm, No. 123. The value obtained for the formation energy (no corrections) is 0.903 eV per atom.

a b c (Å): 4.3336 4.3336 5.6680
angles (deg): 90.00 90.00 90.00
Each line ends with the local moment (μB).
Positions (direct):
S: 0.0000 0.0000 0.0000  -0.07
Rb: 0.0000 0.0000 0.5000  -0.01
Tc: 0.0000 0.5000 0.0000  1.73
Tc: 0.5000 0.0000 0.0000  1.73
Pd: 0.5000 0.5000 0.5000  0.15

=====

Record 9
Here is a PBEsol-optimized structure of Ba3Au from the Alexandria database. Energies are from SCAN.

Calculated values
The calculation puts the magnetic moment at 0.06 μB per cell. The total energy comes out at -379.0 eV for the cell shown. Its symmetry is Pmmn, No. 59. The calculated formation energy is -0.42 eV/atom.

a b c (Å): 4.3102 7.8864 10.9324
angles (deg): 90.00 90.00 90.00
Positions (direct):
Au: 0.0000 0.0000 0.6890
Au: 0.5000 0.5000 0.3110
Ba: 0.5000 0.0000 0.4713
Ba: 0.0000 0.5000 0.5287
Ba: 0.0000 0.7438 0.1687
Ba: 0.0000 0.2562 0.1687
Ba: 0.5000 0.2438 0.8313
Ba: 0.5000 0.7562 0.8313

=====

Record 10
Here is a PBEsol-optimized structure of Ce2Ir7 from the Alexandria database. Energies are from SCAN.

Calculated values
The calculation puts the magnetic moment at 0.00 μB per cell. The total energy comes out at -1185.1 eV for the cell shown. Its symmetry is R-3m, No. 166. The calculated formation energy is -0.63 eV/atom.

a b c (Å): 5.2537 5.2537 13.4062
angles (deg): 78.70 78.70 60.00
Positions (direct):
Ce: 0.9501 0.9501 0.1496
Ce: 0.0499 0.0499 0.8504
Ce: 0.8528 0.8528 0.4415
Ce: 0.1472 0.1472 0.5585
Ir: 0.5000 0.5000 0.5000
Ir: 0.7221 0.7221 0.8336
Ir: 0.2779 0.2779 0.1664
Ir: 0.6110 0.6110 0.1670
Ir: 0.3890 0.3890 0.8330
Ir: 0.0000 0.5000 0.0000
Ir: 0.5000 0.5000 0.0000
Ir: 0.5000 0.0000 0.0000
Ir: 0.3887 0.8915 0.3310
Ir: 0.8915 0.3887 0.3310
Ir: 0.3887 0.3887 0.3310
Ir: 0.6113 0.1085 0.6690
Ir: 0.1085 0.6113 0.6690
Ir: 0.6113 0.6113 0.6690

=====

Record 11
Here is a PBEsol-optimized structure of Ga2AgIrRu from the Alexandria database. Energies are from SCAN.

Calculated values
The calculation puts the magnetic moment at 2.44 μB per cell. The total energy comes out at -163.8 eV for the cell shown. Its symmetry is P4/mmm, No. 123. The calculated formation energy is 1.24 eV/atom.

a b c (Å): 4.4878 4.4878 4.8717
angles (deg): 90.00 90.00 90.00
Each line ends with the local moment (μB).
Positions (direct):
Ru: 0.0000 0.0000 0.0000  0.79
Ir: 0.5000 0.5000 0.5000  1.64
Ga: 0.0000 0.5000 0.0000  -0.01
Ga: 0.5000 0.0000 0.0000  -0.01
Ag: 0.0000 0.0000 0.5000  0.06

=====

Record 12
Here is a PBEsol-optimized structure of ZnCu2Au from the Alexandria database. Energies are from SCAN.

Calculated values
The calculation puts the magnetic moment at 0.00 μB per cell. The total energy comes out at -113.6 eV for the cell shown. Its symmetry is F-43m, No. 216. The calculated formation energy is -0.12 eV/atom.

a b c (Å): 4.2270 4.2270 4.2270
angles (deg): 60.00 60.00 60.00
Positions (direct):
Zn: 0.2500 0.2500 0.2500
Au: 0.5000 0.5000 0.5000
Cu: 0.0000 0.0000 0.0000
Cu: 0.7500 0.7500 0.7500

=====

Number 9 is which compound?
Ba3Au